Here is crystalline YURe at its relaxed geometry from Alexandria via LeMat-Bulk. Energies are from PBE-GGA.

```
data_YURe
_chemical_formula_sum 'Y2 U2 Re2'
_cell_length_a 4.628
_cell_length_b 4.868
_cell_length_c 6.833
_cell_angle_alpha 90.00
_cell_angle_beta 90.00
_cell_angle_gamma 90.00
_symmetry_space_group_name_H-M 'P m m n'
_symmetry_Int_Tables_number 59
loop_
_symmetry_equiv_pos_as_xyz
'x,y,z'
'-x,-y,-z'
'-x+1/2,-y+1/2,z'
'x+1/2,y+1/2,-z'
'x+1/2,-y,-z'
'-x+1/2,y,z'
'-x,y+1/2,-z'
'x,-y+1/2,z'
loop_
_atom_site_label
_atom_site_fract_x
_atom_site_fract_y
_atom_site_fract_z
Y1 0.250 0.250 0.040
U1 0.250 0.250 0.543
Re1 0.250 0.750 0.296
```

- Formation energy from the elements: 0.30 eV/atom
- Total energy: -9.76 eV/atom
- Crystal system: orthorhombic
- D(E_F): 5.61 states/eV/f.u.


Here is crystalline UZnRe at its relaxed geometry from Alexandria via LeMat-Bulk. Energies are from PBE-GGA.

```
data_UZnRe
_chemical_formula_sum 'U2 Zn2 Re2'
_cell_length_a 3.157
_cell_length_b 3.157
_cell_length_c 11.137
_cell_angle_alpha 90.00
_cell_angle_beta 90.00
_cell_angle_gamma 90.00
_symmetry_space_group_name_H-M 'I 4 m m'
_symmetry_Int_Tables_number 107
_symmetry_space_group_name_Hall 'I 4 -2'
loop_
_atom_site_label
_atom_site_fract_x
_atom_site_fract_y
_atom_site_fract_z
U1 0.000 0.000 0.000
Zn1 0.000 0.000 0.710
Re1 0.000 0.000 0.349
```

- Formation energy from the elements: 0.24 eV/atom
- Total energy: -8.09 eV/atom
- Crystal system: tetragonal
- D(E_F): 4.13 states/eV/f.u.


Here is crystalline UZnRe2 at its relaxed geometry from Alexandria via LeMat-Bulk. Energies are from PBE-GGA.

```
data_UZnRe2
_chemical_formula_sum 'U1 Zn1 Re2'
_cell_length_a 4.219
_cell_length_b 4.219
_cell_length_c 3.728
_cell_angle_alpha 90.00
_cell_angle_beta 90.00
_cell_angle_gamma 90.00
_symmetry_space_group_name_H-M 'P 4/m m m'
_symmetry_Int_Tables_number 123
_symmetry_space_group_name_Hall '-P 4 2'
loop_
_atom_site_label
_atom_site_fract_x
_atom_site_fract_y
_atom_site_fract_z
U1 0.000 0.000 0.000
Zn1 0.500 0.500 0.000
Re1 0.000 0.500 0.500
```

- Formation energy from the elements: 0.10 eV/atom
- Total energy: -9.27 eV/atom
- Crystal system: tetragonal
- D(E_F): 3.66 states/eV/f.u.